The following is a GGA+U calculation of a relaxed TaCoNF2 crystal, from Alexandria via LeMat-Bulk.

Fermi-level density of states   1.6 states/eV/f.u.
Relative energy among the computed polymorphs   0.000 eV/atom

a b c (Å): 4.1143 4.1143 4.0405
angles (deg): 90.00 90.00 90.00
With the nearest neighbours (Å) after each atom.
Fractional positions:
Ta 0.0000 0.0000 0.0000  2 N 2.02, 4 F 2.06
Co 0.5000 0.5000 0.5000  8 F 2.88, 4 N 2.91
N 0.0000 0.0000 0.5000  2 Ta 2.02
F 0.0000 0.5000 0.0000  2 Ta 2.06
F 0.5000 0.0000 0.0000  2 Ta 2.06